{
  "formula": "NdI3O10",
  "functional": "PBE",
  "state": "relaxed",
  "e_form_raw_mev_per_atom": -735,
  "volume_a3_per_cell": 492,
  "sg": "P2_1, No. 4",
  "lattice_angstrom": [[7.5232, 0.0000, 0.0000], [0.0000, 6.8023, 0.0000], [-3.1025, 0.0000, 9.6226]],
  "species": ["Nd", "Nd", "I", "I", "I", "I", "I", "I", "O", "O", "O", "O", "O", "O", "O", "O", "O", "O", "O", "O", "O", "O", "O", "O", "O", "O", "O", "O"],
  "fractional_positions": [[0.2481, 0.0000, 0.3095], [0.7519, 0.5000, 0.6905], [0.1016, 0.8670, 0.9116], [0.1685, 0.4713, 0.5424], [0.4800, 0.5218, 0.2775], [0.5200, 0.0218, 0.7225], [0.8315, 0.9713, 0.4576], [0.8984, 0.3670, 0.0884], [0.0057, 0.6131, 0.8948], [0.0354, 0.3667, 0.6499], [0.1132, 0.2782, 0.4093], [0.2546, 0.8232, 0.0935], [0.2682, 0.8185, 0.8135], [0.3003, 0.6401, 0.3422], [0.3271, 0.0720, 0.9624], [0.3554, 0.9474, 0.5573], [0.3582, 0.2902, 0.2241], [0.4062, 0.4033, 0.6467], [0.5938, 0.9033, 0.3533], [0.6418, 0.7902, 0.7759], [0.6446, 0.4474, 0.4427], [0.6729, 0.5720, 0.0376], [0.6997, 0.1401, 0.6578], [0.7318, 0.3185, 0.1865], [0.7454, 0.3232, 0.9065], [0.8868, 0.7782, 0.5907], [0.9646, 0.8667, 0.3501], [0.9943, 0.1131, 0.1052]]
}

***

{
  "formula": "NdPIO4",
  "functional": "PBE",
  "state": "relaxed",
  "e_form_raw_mev_per_atom": -2393,
  "volume_a3_per_cell": 248,
  "sg": "C2/m, No. 12",
  "lattice_angstrom": [[5.7932, -3.2141, 0.0000], [5.7932, 3.2141, 0.0000], [-1.1491, 0.0000, 6.6576]],
  "species": ["Nd", "Nd", "P", "P", "I", "I", "O", "O", "O", "O", "O", "O", "O", "O"],
  "fractional_positions": [[0.1984, 0.1984, 0.3138], [0.8016, 0.8016, 0.6862], [0.1357, 0.1357, 0.7517], [0.8643, 0.8643, 0.2483], [0.4668, 0.4668, 0.8011], [0.5332, 0.5332, 0.1989], [0.0021, 0.0021, 0.7313], [0.0128, 0.6301, 0.3645], [0.1948, 0.1948, 0.9727], [0.3699, 0.9872, 0.6355], [0.6301, 0.0128, 0.3645], [0.8052, 0.8052, 0.0273], [0.9872, 0.3699, 0.6355], [0.9979, 0.9979, 0.2686]]
}

***

{
  "formula": "NdPbIO6",
  "functional": "PBE",
  "state": "relaxed",
  "n_ef_per_ev_cell": 0.00,
  "e_form_raw_mev_per_atom": -1370,
  "volume_a3_per_cell": 295,
  "sg": "P-31c, No. 163",
  "lattice_angstrom": [[5.8655, 0.0000, 0.0000], [-2.9328, 5.0797, 0.0000], [0.0000, 0.0000, 9.9142]],
  "species": ["Nd", "Nd", "Pb", "Pb", "I", "I", "O", "O", "O", "O", "O", "O", "O", "O", "O", "O", "O", "O"],
  "fractional_positions": [[0.3333, 0.6667, 0.2500], [0.6667, 0.3333, 0.7500], [0.0000, 0.0000, 0.0000], [0.0000, 0.0000, 0.5000], [0.3333, 0.6667, 0.7500], [0.6667, 0.3333, 0.2500], [0.0594, 0.4019, 0.6409], [0.0594, 0.6575, 0.8591], [0.3425, 0.4019, 0.8591], [0.3425, 0.9406, 0.6409], [0.4019, 0.0594, 0.1409], [0.4019, 0.3425, 0.3591], [0.5981, 0.6575, 0.6409], [0.5981, 0.9406, 0.8591], [0.6575, 0.0594, 0.3591], [0.6575, 0.5981, 0.1409], [0.9406, 0.3425, 0.1409], [0.9406, 0.5981, 0.3591]]
}

***

{
  "formula": "PmNdIO6",
  "functional": "PBE",
  "state": "relaxed",
  "n_ef_per_ev_cell": 8.53,
  "e_form_raw_mev_per_atom": -1947,
  "volume_a3_per_cell": 280,
  "sg": "P-31c, No. 163",
  "lattice_angstrom": [[5.7949, 0.0000, 0.0000], [-2.8975, 5.0185, 0.0000], [0.0000, 0.0000, 9.6247]],
  "species": ["Pm", "Pm", "Nd", "Nd", "I", "I", "O", "O", "O", "O", "O", "O", "O", "O", "O", "O", "O", "O"],
  "fractional_positions": [[0.0000, 0.0000, 0.0000], [0.0000, 0.0000, 0.5000], [0.3333, 0.6667, 0.2500], [0.6667, 0.3333, 0.7500], [0.3333, 0.6667, 0.7500], [0.6667, 0.3333, 0.2500], [0.0475, 0.3707, 0.6342], [0.0475, 0.6768, 0.8658], [0.3232, 0.3707, 0.8658], [0.3232, 0.9525, 0.6342], [0.3707, 0.0475, 0.1342], [0.3707, 0.3232, 0.3658], [0.6293, 0.6768, 0.6342], [0.6293, 0.9525, 0.8658], [0.6768, 0.0475, 0.3658], [0.6768, 0.6293, 0.1342], [0.9525, 0.3232, 0.1342], [0.9525, 0.6293, 0.3658]]
}

***

{
  "formula": "Pm2NdIO4",
  "functional": "PBE",
  "state": "relaxed",
  "n_ef_per_ev_cell": 0.00,
  "e_form_raw_mev_per_atom": -3063,
  "volume_a3_per_cell": 161,
  "sg": "P4/mmm, No. 123",
  "lattice_angstrom": [[4.0773, 0.0000, 0.0000], [0.0000, 4.0773, 0.0000], [0.0000, 0.0000, 9.6716]],
  "species": ["Pm", "Pm", "Nd", "I", "O", "O", "O", "O"],
  "fractional_positions": [[0.0000, 0.0000, 0.2500], [0.0000, 0.0000, 0.7500], [0.5000, 0.5000, 0.0000], [0.5000, 0.5000, 0.5000], [0.0000, 0.5000, 0.1500], [0.0000, 0.5000, 0.8500], [0.5000, 0.0000, 0.1500], [0.5000, 0.0000, 0.8500]]
}

***

{
  "formula": "PmNd2IO8",
  "functional": "PBE",
  "state": "relaxed",
  "n_ef_per_ev_cell": 0.00,
  "e_form_raw_mev_per_atom": -2231,
  "volume_a3_per_cell": 190,
  "sg": "P2/m, No. 10",
  "lattice_angstrom": [[5.1858, 0.0000, 0.0000], [0.0000, 7.0647, 0.0000], [-0.0470, 0.0000, 5.1872]],
  "species": ["Pm", "Nd", "Nd", "I", "O", "O", "O", "O", "O", "O", "O", "O"],
  "fractional_positions": [[0.0000, 0.0000, 0.0000], [0.5000, 0.2527, 0.5000], [0.5000, 0.7473, 0.5000], [0.0000, 0.5000, 0.0000], [0.1757, 0.2988, 0.8229], [0.1757, 0.7012, 0.8229], [0.2603, 0.5000, 0.2584], [0.3101, 0.0000, 0.3087], [0.6899, 0.0000, 0.6913], [0.7397, 0.5000, 0.7416], [0.8243, 0.2988, 0.1771], [0.8243, 0.7012, 0.1771]]
}

***

{
  "formula": "PrNd2IO8",
  "functional": "PBE",
  "state": "relaxed",
  "n_ef_per_ev_cell": 0.00,
  "e_form_raw_mev_per_atom": -2215,
  "volume_a3_per_cell": 192,
  "sg": "P2/m, No. 10",
  "lattice_angstrom": [[5.2006, 0.0000, 0.0000], [0.0000, 7.1160, 0.0000], [-0.0110, 0.0000, 5.2012]],
  "species": ["Pr", "Nd", "Nd", "I", "O", "O", "O", "O", "O", "O", "O", "O"],
  "fractional_positions": [[0.0000, 0.0000, 0.0000], [0.5000, 0.2530, 0.5000], [0.5000, 0.7470, 0.5000], [0.0000, 0.5000, 0.0000], [0.1762, 0.3013, 0.8216], [0.1762, 0.6987, 0.8216], [0.2595, 0.5000, 0.2568], [0.3138, 0.0000, 0.3118], [0.6862, 0.0000, 0.6882], [0.7405, 0.5000, 0.7432], [0.8238, 0.3013, 0.1784], [0.8238, 0.6987, 0.1784]]
}

***

{
  "formula": "PrNd2IO4",
  "functional": "PBE",
  "state": "relaxed",
  "n_ef_per_ev_cell": 0.00,
  "e_form_raw_mev_per_atom": -3033,
  "volume_a3_per_cell": 165,
  "sg": "P4/mmm, No. 123",
  "lattice_angstrom": [[4.1085, 0.0000, 0.0000], [0.0000, 4.1085, 0.0000], [0.0000, 0.0000, 9.7573]],
  "species": ["Pr", "Nd", "Nd", "I", "O", "O", "O", "O"],
  "fractional_positions": [[0.0000, 0.0000, 0.0000], [0.5000, 0.5000, 0.2511], [0.5000, 0.5000, 0.7489], [0.0000, 0.0000, 0.5000], [0.0000, 0.5000, 0.1503], [0.0000, 0.5000, 0.8497], [0.5000, 0.0000, 0.1503], [0.5000, 0.0000, 0.8497]]
}

***

{
  "formula": "NdPuIO4",
  "functional": "PBE",
  "state": "relaxed",
  "n_ef_per_ev_cell": 12.54,
  "e_form_raw_mev_per_atom": -2453,
  "volume_a3_per_cell": 320,
  "sg": "C2/m, No. 12",
  "lattice_angstrom": [[7.9720, -3.1305, 0.0000], [7.9720, 3.1305, 0.0000], [-1.5198, 0.0000, 6.4148]],
  "species": ["Nd", "Nd", "Pu", "Pu", "I", "I", "O", "O", "O", "O", "O", "O", "O", "O"],
  "fractional_positions": [[0.2174, 0.2174, 0.3422], [0.7826, 0.7826, 0.6578], [0.0999, 0.0999, 0.6943], [0.9001, 0.9001, 0.3057], [0.4870, 0.4870, 0.2367], [0.5130, 0.5130, 0.7633], [0.0250, 0.5903, 0.3675], [0.0607, 0.0607, 0.3945], [0.1408, 0.1408, 0.9875], [0.4097, 0.9750, 0.6325], [0.5903, 0.0250, 0.3675], [0.8592, 0.8592, 0.0125], [0.9393, 0.9393, 0.6055], [0.9750, 0.4097, 0.6325]]
}

***

{
  "formula": "Rb2NdIO6",
  "functional": "PBE",
  "state": "relaxed",
  "n_ef_per_ev_cell": 0.00,
  "e_form_raw_mev_per_atom": -1590,
  "volume_a3_per_cell": 357,
  "sg": "R-3m, No. 166",
  "lattice_angstrom": [[3.1776, 1.8346, 10.1994], [-3.1776, 1.8346, 10.1994], [0.0000, -3.6692, 10.1994]],
  "species": ["Rb", "Rb", "Rb", "Rb", "Nd", "Nd", "I", "I", "O", "O", "O", "O", "O", "O", "O", "O", "O", "O", "O", "O"],
  "fractional_positions": [[0.1334, 0.1334, 0.1334], [0.2652, 0.2652, 0.2652], [0.7348, 0.7348, 0.7348], [0.8666, 0.8666, 0.8666], [0.3986, 0.3986, 0.3986], [0.6014, 0.6014, 0.6014], [0.0000, 0.0000, 0.0000], [0.5000, 0.5000, 0.5000], [0.1780, 0.1780, 0.7513], [0.1780, 0.7513, 0.1780], [0.1854, 0.6002, 0.6002], [0.2487, 0.8220, 0.8220], [0.3998, 0.3998, 0.8146], [0.3998, 0.8146, 0.3998], [0.6002, 0.1854, 0.6002], [0.6002, 0.6002, 0.1854], [0.7513, 0.1780, 0.1780], [0.8146, 0.3998, 0.3998], [0.8220, 0.2487, 0.8220], [0.8220, 0.8220, 0.2487]]
}

***

{
  "formula": "NdSbIO4",
  "functional": "PBE",
  "state": "relaxed",
  "e_form_raw_mev_per_atom": -1769,
  "volume_a3_per_cell": 299,
  "sg": "C2/m, No. 12",
  "lattice_angstrom": [[6.3460, -3.3436, 0.0000], [6.3460, 3.3436, 0.0000], [-1.7419, 0.0000, 7.0504]],
  "species": ["Nd", "Nd", "Sb", "Sb", "I", "I", "O", "O", "O", "O", "O", "O", "O", "O"],
  "fractional_positions": [[0.2057, 0.2057, 0.3328], [0.7943, 0.7943, 0.6672], [0.1294, 0.1294, 0.7540], [0.8706, 0.8706, 0.2460], [0.4775, 0.4775, 0.8105], [0.5225, 0.5225, 0.1895], [0.0227, 0.0227, 0.2910], [0.0272, 0.6060, 0.3800], [0.1951, 0.1951, 0.0156], [0.3940, 0.9728, 0.6200], [0.6060, 0.0272, 0.3800], [0.8049, 0.8049, 0.9844], [0.9728, 0.3940, 0.6200], [0.9773, 0.9773, 0.7090]]
}

***

{
  "formula": "NdSm2IO8",
  "functional": "PBE",
  "state": "relaxed",
  "n_ef_per_ev_cell": 0.00,
  "e_form_raw_mev_per_atom": -2253,
  "volume_a3_per_cell": 186,
  "sg": "Cmmm, No. 65",
  "lattice_angstrom": [[3.6347, -3.6433, 0.0000], [3.6347, 3.6433, 0.0000], [0.0000, 0.0000, 7.0412]],
  "species": ["Nd", "Sm", "Sm", "I", "O", "O", "O", "O", "O", "O", "O", "O"],
  "fractional_positions": [[0.0000, 0.0000, 0.0000], [0.5000, 0.5000, 0.2515], [0.5000, 0.5000, 0.7485], [0.0000, 0.0000, 0.5000], [0.1789, 0.8211, 0.2995], [0.1789, 0.8211, 0.7005], [0.2612, 0.2612, 0.5000], [0.3131, 0.3131, 0.0000], [0.6869, 0.6869, 0.0000], [0.7388, 0.7388, 0.5000], [0.8211, 0.1789, 0.2995], [0.8211, 0.1789, 0.7005]]
}

***

| no. | total energy (eV/atom) |
| --- | --- |
| 1 | -4.949 |
| 2 | -6.902 |
| 3 | -5.789 |
| 4 | -6.482 |
| 5 | -7.519 |
| 6 | -6.857 |
| 7 | -6.843 |
| 8 | -7.495 |
| 9 | -8.237 |
| 10 | -5.390 |
| 11 | -6.094 |
| 12 | -6.871 |